Record 1
Tl3NiB | PBE-GGA | optimized geometry

Summary:
For the calculated formation energy, the calculation gives 5.1 eV per formula unit. The density comes out at 8.86 g/cm³.

Cell lengths 5.0384, 5.0384, 5.0384 Å; angles 90.00, 90.00, 90.00 degrees
Last column: nearest neighbours and their distance in Å.
Space group Pm-3m (No. 221)
Unique sites:
Tl 0.0000 0.0000 0.5000 [3 per cell]  2 Ni 2.52
Ni 0.0000 0.0000 0.0000 [1 per cell]  6 Tl 2.52
B 0.5000 0.5000 0.5000 [1 per cell]  12 Tl 3.56



Record 2
TlNi3B | PBE-GGA | optimized geometry

Summary:
For the calculated formation energy, the calculation gives 0.0 eV per formula unit. The density comes out at 10.51 g/cm³.

Cell lengths 3.9546, 3.9546, 3.9546 Å; angles 90.00, 90.00, 90.00 degrees
Last column: nearest neighbours and their distance in Å.
Space group Pm-3m (No. 221)
Unique sites:
Tl 0.0000 0.0000 0.0000 [1 per cell]  12 Ni 2.80
Ni 0.0000 0.5000 0.5000 [3 per cell]  2 B 1.98
B 0.5000 0.5000 0.5000 [1 per cell]  6 Ni 1.98



Record 3
Tl2Ni2B | PBE-GGA | optimized geometry

Summary:
For the calculated formation energy, the calculation gives 2.9 eV per formula unit. The density comes out at 9.66 g/cm³.

Cell lengths 5.3454, 5.3454, 6.4607 Å; angles 90.00, 90.00, 90.00 degrees
Last column: nearest neighbours and their distance in Å.
Space group I4/mmm (No. 139)
Unique sites:
Tl 0.0000 0.5000 0.2500 [4 per cell]  4 Ni 2.68
Ni 0.0000 0.0000 0.2142 [4 per cell]  1 B 1.85
B 0.0000 0.0000 0.5000 [2 per cell]  2 Ni 1.85



Record 4
TlNi2B2 | PBE-GGA | optimized geometry

Summary:
For the calculated formation energy, the calculation gives 2.7 eV per formula unit. The density comes out at 9.86 g/cm³.

Cell lengths 6.1187, 6.1187, 3.0881 Å; angles 90.00, 90.00, 90.00 degrees
Last column: nearest neighbours and their distance in Å.
Space group P4/mbm (No. 127)
Unique sites:
Tl 0.0000 0.0000 0.0000 [2 per cell]  4 B 2.52, 8 Ni 2.82
Ni 0.1416 0.3584 0.5000 [4 per cell]  4 B 2.15
B 0.0996 0.5996 0.0000 [4 per cell]  1 B 1.72



Record 5
Tl3NiB | PBE-GGA | optimized geometry

Summary:
For the calculated formation energy, the calculation gives 5.1 eV per formula unit. The density comes out at 9.81 g/cm³.

Cell lengths 4.8703, 4.8703, 4.8703 Å; angles 90.00, 90.00, 90.00 degrees
Last column: nearest neighbours and their distance in Å.
Space group Pm-3m (No. 221)
Unique sites:
Tl 0.0000 0.0000 0.5000 [3 per cell]  2 B 2.44
Ni 0.5000 0.5000 0.5000 [1 per cell]  12 Tl 3.44
B 0.0000 0.0000 0.0000 [1 per cell]  6 Tl 2.44



Record 6
TlNi2B2 | PBE-GGA | optimized geometry

Summary:
For the calculated formation energy, the calculation gives 1.6 eV per formula unit. The density comes out at 10.09 g/cm³.

Cell lengths 3.7111, 3.7111, 8.2072 Å; angles 90.00, 90.00, 90.00 degrees
Last column: nearest neighbours and their distance in Å.
Space group I4/mmm (No. 139)
Unique sites:
Tl 0.0000 0.0000 0.0000 [2 per cell]  8 B 2.76, 8 Ni 2.77
Ni 0.0000 0.5000 0.2500 [4 per cell]  4 B 2.20
B 0.0000 0.0000 0.3944 [4 per cell]  1 B 1.73



Record 7
TlNi3B | PBE-GGA | optimized geometry

Summary:
For the calculated formation energy, the calculation gives 11.1 eV per formula unit. The density comes out at 6.01 g/cm³.

Cell lengths 4.7651, 4.7651, 4.7651 Å; angles 90.00, 90.00, 90.00 degrees
Last column: nearest neighbours and their distance in Å.
Space group Pm-3m (No. 221)
Unique sites:
Tl 0.0000 0.0000 0.0000 [1 per cell]  6 Ni 2.38
Ni 0.0000 0.0000 0.5000 [3 per cell]  2 Tl 2.38
B 0.5000 0.5000 0.5000 [1 per cell]  12 Ni 3.37



Record 8
TlNiB2 | PBE-GGA | optimized geometry

Summary:
For the calculated formation energy, the calculation gives 2.2 eV per formula unit. The density comes out at 9.22 g/cm³.

Cell lengths 3.7749, 3.7749, 14.3989 Å; angles 90.00, 90.00, 90.00 degrees
Last column: nearest neighbours and their distance in Å.
Space group I4_1/amd (No. 141, origin choice 2)
Unique sites:
Tl 0.0000 0.2500 0.3750 [4 per cell]  4 Ni 2.67, 8 B 2.77
Ni 0.0000 0.2500 0.8750 [4 per cell]  4 B 2.03
B 0.0000 0.0000 0.0000 [8 per cell]  2 B 1.89, 2 Ni 2.03



Record 9
TlNiB2 | PBE-GGA | optimized geometry

Summary:
For the calculated formation energy, the calculation gives 6.2 eV per formula unit. The density comes out at 9.45 g/cm³.

Cell lengths 5.8488, 5.8488, 5.8488 Å; angles 90.00, 90.00, 90.00 degrees
Last column: nearest neighbours and their distance in Å.
Space group Fm-3m (No. 225)
Unique sites:
Tl 0.0000 0.0000 0.0000 [4 per cell]  8 B 2.53
Ni 0.0000 0.0000 0.5000 [4 per cell]  8 B 2.53
B 0.2500 0.2500 0.2500 [8 per cell]  4 Tl 2.53, 4 Ni 2.53



Record 10
Tl2Ni2B | PBE-GGA | optimized geometry

Summary:
For the calculated formation energy, the calculation gives 2.4 eV per formula unit. The density comes out at 10.65 g/cm³.

Cell lengths 5.7161, 5.7161, 5.1256 Å; angles 90.00, 90.00, 90.00 degrees
Last column: nearest neighbours and their distance in Å.
Space group P4/mbm (No. 127)
Unique sites:
Tl 0.1825 0.3175 0.0000 [4 per cell]  2 Ni 2.74, 5 Tl 2.95-2.96
Ni 0.1967 0.6967 0.5000 [4 per cell]  2 B 2.07
B 0.0000 0.0000 0.5000 [2 per cell]  4 Ni 2.07



Record 11
Y2TlNiB | PBE-GGA | optimized geometry

Summary:
For the calculated formation energy, the calculation gives -1.4 eV per formula unit. The density comes out at 7.21 g/cm³.

Cell lengths 5.1952, 5.1952, 3.8568 Å; angles 90.00, 90.00, 90.00 degrees
Last column: nearest neighbours and their distance in Å.
Space group P4/mmm (No. 123)
Unique sites:
Y 0.0000 0.5000 0.0000 [2 per cell]  2 B 2.60
Tl 0.0000 0.0000 0.5000 [1 per cell]  8 Y 3.24
Ni 0.5000 0.5000 0.5000 [1 per cell]  2 B 1.93
B 0.5000 0.5000 0.0000 [1 per cell]  2 Ni 1.93



Record 12
YTlNi2B | PBE-GGA | optimized geometry

Summary:
For the calculated formation energy, the calculation gives 8.3 eV per formula unit. The density comes out at 5.53 g/cm³.

Cell lengths 4.6839, 4.6839, 5.7642 Å; angles 90.00, 90.00, 90.00 degrees
Last column: nearest neighbours and their distance in Å.
Space group P4/mmm (No. 123)
Unique sites:
Y 0.0000 0.0000 0.0000 [1 per cell]  2 Tl 2.88
Tl 0.0000 0.0000 0.5000 [1 per cell]  4 Ni 2.34
Ni 0.0000 0.5000 0.5000 [2 per cell]  2 Tl 2.34
B 0.5000 0.5000 0.0000 [1 per cell]  4 Y 3.31